1.
Density functional theory data (PBE) for a relaxed HoTm3Sn2N2 crystal.

Summary:
* theoretical density: 9.8 Mg/m³
* size of the total moment: 0.014 μB/cell
* E_tot: -6.534 eV per atom

a = 3.4799 Å, b = 3.4799 Å, c = 15.1560 Å
α = 90.00°, β = 90.00°, γ = 120.00°
Closest atoms and distances in Å follow each position.
Fractional positions:
Sn (0.0000, 0.0000, 0.7496)  6 Tm 3.20-3.21, 6 Sn 3.48
Sn (0.3333, 0.6667, 0.2514)  3 Tm 3.20, 3 Ho 3.22, 6 Sn 3.48
Tm (0.0000, 0.0000, 0.4155)  3 N 2.38
Tm (0.3333, 0.6667, 0.9146)  3 N 2.37
Tm (0.3333, 0.6667, 0.5851)  3 N 2.39
N (0.6667, 0.3333, 0.9977)  3 Tm 2.37, 3 Ho 2.41
N (0.6667, 0.3333, 0.5002)  6 Tm 2.38-2.39
Ho (0.0000, 0.0000, 0.0858)  3 N 2.41

2.
Density functional theory data (PBE) for a relaxed TbHoGe2Os crystal.

Summary:
* theoretical density: 10.6 Mg/m³
* size of the total moment: 0.025 μB/cell
* E_tot: -6.633 eV per atom

a = 5.7992 Å, b = 5.7992 Å, c = 10.1208 Å
α = 115.98°, β = 115.98°, γ = 43.53°
Closest atoms and distances in Å follow each position.
Fractional positions:
Os (0.2694, 0.2694, 0.1301)  4 Ge 2.47-2.60
Os (0.7306, 0.7306, 0.8699)  4 Ge 2.47-2.60
Tb (0.1850, 0.1850, 0.6138)  6 Ge 2.91-3.22, 2 Os 3.22
Tb (0.8150, 0.8150, 0.3862)  6 Ge 2.91-3.22, 2 Os 3.22
Ge (0.5106, 0.5106, 0.3737)  1 Os 2.60, 1 Ge 2.67
Ge (0.6421, 0.6421, 0.0622)  3 Os 2.47-2.54, 1 Ge 2.71
Ge (0.4894, 0.4894, 0.6263)  1 Os 2.60, 1 Ge 2.67
Ge (0.3579, 0.3579, 0.9378)  3 Os 2.47-2.54, 1 Ge 2.71
Ho (0.0032, 0.0032, 0.1743)  6 Ge 2.92-3.12, 4 Os 3.09-3.18
Ho (0.9968, 0.9968, 0.8257)  6 Ge 2.92-3.12, 4 Os 3.09-3.18

3.
Density functional theory data (PBE) for a relaxed Ta2PbN crystal.

Summary:
* theoretical density: 14.8 Mg/m³
* size of the total moment: 0.006 μB/cell
* E_tot: -9.112 eV per atom

a = 3.3192 Å, b = 3.3192 Å, c = 13.7008 Å
α = 90.00°, β = 90.00°, γ = 120.00°
Closest atoms and distances in Å follow each position.
Fractional positions:
Ta (0.3333, 0.6667, 0.4229)  3 N 2.19
Ta (0.6667, 0.3333, 0.9229)  3 N 2.19
Ta (0.3333, 0.6667, 0.0771)  3 N 2.19
Ta (0.6667, 0.3333, 0.5771)  3 N 2.19
N (0.0000, 0.0000, 0.5000)  6 Ta 2.19
N (0.0000, 0.0000, 0.0000)  6 Ta 2.19
Pb (0.3333, 0.6667, 0.7500)  6 Ta 3.05, 6 Pb 3.32
Pb (0.6667, 0.3333, 0.2500)  6 Ta 3.05, 6 Pb 3.32

4.
Density functional theory data (PBE) for a relaxed YBeInNi crystal.

Summary:
* theoretical density: 7.0 Mg/m³
* energy relative to the lowest polymorph listed for this composition: 0.000 eV/atom
* size of the total moment: 0.003 μB/cell
* E_tot: -4.807 eV per atom

a = 4.5079 Å, b = 4.5079 Å, c = 4.5079 Å
α = 60.00°, β = 60.00°, γ = 60.00°
Closest atoms and distances in Å follow each position.
Fractional positions:
In (0.5000, 0.5000, 0.5000)  4 Be 2.76, 4 Ni 2.76
Be (0.7500, 0.7500, 0.7500)  4 In 2.76, 4 Y 2.76
Ni (0.2500, 0.2500, 0.2500)  4 Y 2.76, 4 In 2.76
Y (0.0000, 0.0000, 0.0000)  4 Ni 2.76, 4 Be 2.76

5.
Density functional theory data (PBE) for a relaxed BaTePtO crystal.

Summary:
* theoretical density: 7.5 Mg/m³
* energy relative to the lowest polymorph listed for this composition: 0.287 eV/atom
* size of the total moment: 0.007 μB/cell
* E_tot: -4.935 eV per atom

a = 6.5717 Å, b = 9.4620 Å, c = 6.7803 Å
α = 90.00°, β = 90.00°, γ = 90.00°
Closest atoms and distances in Å follow each position.
Fractional positions:
O (0.7520, 0.0000, 0.5669)  2 Pt 2.10-2.11
O (0.2480, 0.0000, 0.0669)  2 Pt 2.10-2.11
O (0.2520, 0.0000, 0.5669)  2 Pt 2.10-2.11
O (0.7480, 0.0000, 0.0669)  2 Pt 2.10-2.11
Te (0.4997, 0.5971, 0.5569)  1 Pt 2.50
Te (0.9997, 0.4029, 0.5569)  1 Pt 2.50
Te (0.0003, 0.5971, 0.0569)  1 Pt 2.50
Te (0.5003, 0.4029, 0.0569)  1 Pt 2.50
Pt (0.9977, 0.8608, 0.0651)  2 O 2.10-2.11
Pt (0.4977, 0.1392, 0.0651)  2 O 2.10-2.11
Pt (0.0023, 0.1392, 0.5651)  2 O 2.10-2.11
Pt (0.5023, 0.8608, 0.5651)  2 O 2.10-2.11
Ba (0.4984, 0.7873, 0.0611)  2 O 2.60
Ba (0.5016, 0.2127, 0.5611)  2 O 2.60
Ba (0.0016, 0.7873, 0.5611)  2 O 2.60
Ba (0.9984, 0.2127, 0.0611)  2 O 2.60

6.
Density functional theory data (PBE) for a relaxed NbIn2Mo crystal.

Summary:
* theoretical density: 9.2 Mg/m³
* size of the total moment: 0.017 μB/cell
* E_tot: -6.209 eV per atom

a = 4.7515 Å, b = 4.7515 Å, c = 4.7515 Å
α = 60.00°, β = 60.00°, γ = 60.00°
Closest atoms and distances in Å follow each position.
Fractional positions:
Mo (0.0000, 0.0000, 0.0000)  4 Nb 2.91, 4 In 2.91
In (0.2500, 0.2500, 0.2500)  4 Mo 2.91, 4 In 2.91
In (0.5000, 0.5000, 0.5000)  4 Nb 2.91, 4 In 2.91
Nb (0.7500, 0.7500, 0.7500)  4 In 2.91, 4 Mo 2.91

7.
Density functional theory data (PBE) for a relaxed Cu3Ag crystal.

Summary:
* theoretical density: 9.3 Mg/m³
* E_tot: -3.414 eV per atom
* energy of formation from the pure elements: 0.08 eV/atom

a = 4.6391 Å, b = 4.6391 Å, c = 7.5808 Å
α = 114.32°, β = 114.32°, γ = 47.16°
Closest atoms and distances in Å follow each position.
Fractional positions:
Cu (0.3826, 0.3826, 0.5608)  9 Cu 2.55-2.75, 3 Ag 2.64-2.65
Cu (0.8797, 0.8797, 0.3218)  9 Cu 2.55-2.75, 3 Ag 2.67-2.68
Cu (0.6174, 0.6174, 0.4392)  9 Cu 2.55-2.75, 3 Ag 2.64-2.65
Cu (0.6306, 0.6306, 0.9354)  7 Cu 2.60-2.80, 5 Ag 2.65-2.71
Cu (0.3694, 0.3694, 0.0646)  7 Cu 2.60-2.80, 5 Ag 2.65-2.71
Cu (0.1203, 0.1203, 0.6782)  9 Cu 2.55-2.75, 3 Ag 2.67-2.68
Ag (0.1277, 0.1277, 0.1947)  11 Cu 2.64-2.71, 1 Ag 2.77
Ag (0.8723, 0.8723, 0.8053)  11 Cu 2.64-2.71, 1 Ag 2.77

8.
Density functional theory data (PBE) for a relaxed Gd3BiSb2 crystal.

Summary:
* theoretical density: 8.2 Mg/m³
* size of the total moment: 0.003 μB/cell
* E_tot: -5.456 eV per atom

a = 4.4462 Å, b = 4.4462 Å, c = 10.9005 Å
α = 90.00°, β = 90.00°, γ = 120.00°
Closest atoms and distances in Å follow each position.
Fractional positions:
Gd (0.0000, 0.0000, 0.5000)  6 Sb 3.13
Gd (0.6667, 0.3333, 0.1716)  3 Sb 3.13, 3 Bi 3.18
Gd (0.3333, 0.6667, 0.8284)  3 Sb 3.13, 3 Bi 3.18
Sb (0.6667, 0.3333, 0.6647)  6 Gd 3.13
Sb (0.3333, 0.6667, 0.3353)  6 Gd 3.13
Bi (0.0000, 0.0000, 0.0000)  6 Gd 3.18

9.
Density functional theory data (PBE) for a relaxed MgNiAsPd crystal.

Summary:
* theoretical density: 7.4 Mg/m³
* energy relative to the lowest polymorph listed for this composition: 0.000 eV/atom
* size of the total moment: 0.000 μB/cell
* E_tot: -4.580 eV per atom

a = 4.3756 Å, b = 4.3756 Å, c = 4.3756 Å
α = 60.00°, β = 60.00°, γ = 60.00°
Closest atoms and distances in Å follow each position.
Fractional positions:
As (0.0000, 0.0000, 0.0000)  4 Pd 2.68, 4 Ni 2.68
Pd (0.2500, 0.2500, 0.2500)  4 Mg 2.68, 4 As 2.68
Ni (0.7500, 0.7500, 0.7500)  4 Mg 2.68, 4 As 2.68
Mg (0.5000, 0.5000, 0.5000)  4 Pd 2.68, 4 Ni 2.68

10.
Density functional theory data (PBE) for a relaxed Pr2Sc2CI3Br2 crystal.

Summary:
* theoretical density: 5.3 Mg/m³
* energy relative to the lowest polymorph listed for this composition: 0.064 eV/atom
* size of the total moment: 0.097 μB/cell
* E_tot: -5.085 eV per atom

a = 9.2772 Å, b = 9.2772 Å, c = 8.4394 Å
α = 103.24°, β = 103.24°, γ = 24.27°
Closest atoms and distances in Å follow each position.
Fractional positions:
C (0.5000, 0.5000, 0.0000)  4 Sc 2.46, 2 Pr 2.49
I (0.5000, 0.5000, 0.5000)  4 Sc 3.34
I (0.8381, 0.8381, 0.6383)  1 Sc 2.99, 2 Pr 3.12
I (0.1619, 0.1619, 0.3617)  1 Sc 2.99, 2 Pr 3.12
Br (0.1594, 0.1594, 0.8102)  1 Sc 2.91, 2 Pr 2.99
Br (0.8406, 0.8406, 0.1898)  1 Sc 2.91, 2 Pr 2.99
Pr (0.6410, 0.6410, 0.0666)  1 C 2.49
Pr (0.3590, 0.3590, 0.9334)  1 C 2.49
Sc (0.9999, 0.9999, 0.1779)  2 C 2.46
Sc (0.0001, 0.0001, 0.8221)  2 C 2.46

11.
Density functional theory data (PBE) for a relaxed HoCuPbSe2S crystal.

Summary:
* theoretical density: 7.5 Mg/m³
* size of the total moment: 0.003 μB/cell
* E_tot: -4.897 eV per atom

a = 7.0361 Å, b = 7.0361 Å, c = 10.2318 Å
α = 90.00°, β = 90.00°, γ = 146.83°
Closest atoms and distances in Å follow each position.
Fractional positions:
Ho (0.5000, 0.5000, 0.0000)  2 S 2.73, 4 Se 2.86
Ho (0.5000, 0.5000, 0.5000)  2 S 2.73, 4 Se 2.86
Cu (0.9730, 0.0270, 0.7500)  2 S 2.40, 2 Se 2.47
Cu (0.0270, 0.9730, 0.2500)  2 S 2.40, 2 Se 2.47
S (0.5699, 0.4301, 0.7500)  2 Cu 2.40
S (0.4301, 0.5699, 0.2500)  2 Cu 2.40
Se (0.1429, 0.8571, 0.0629)  1 Cu 2.47
Se (0.8571, 0.1429, 0.9371)  1 Cu 2.47
Se (0.8571, 0.1429, 0.5629)  1 Cu 2.47
Se (0.1429, 0.8571, 0.4371)  1 Cu 2.47
Pb (0.2445, 0.7555, 0.7500)  2 S 3.09, 4 Se 3.16
Pb (0.7555, 0.2445, 0.2500)  2 S 3.09, 4 Se 3.16

12.
Density functional theory data (PBE) for a relaxed Pr2NdCd4In2 crystal.

Summary:
* theoretical density: 7.6 Mg/m³
* size of the total moment: 0.033 μB/cell
* E_tot: -3.029 eV per atom

a = 4.7313 Å, b = 7.6724 Å, c = 7.6724 Å
α = 119.91°, β = 90.00°, γ = 90.00°
Closest atoms and distances in Å follow each position.
Fractional positions:
Cd (0.5000, 0.2397, 0.2397)  2 In 2.98, 4 Cd 3.00-3.19
Cd (0.0000, 0.9987, 0.9987)  6 Cd 2.99-3.00, 1 Nd 3.23, 2 Pr 3.24
Cd (0.5000, 0.9998, 0.7602)  2 In 2.98-2.99, 4 Cd 2.99-3.19
Cd (0.5000, 0.7602, 0.9998)  2 In 2.98-2.99, 4 Cd 2.99-3.19
Nd (0.0000, 0.5784, 0.5784)  3 Cd 3.23-3.52, 4 In 3.29
Pr (0.0000, 0.4221, 0.0003)  3 Cd 3.24-3.51, 4 In 3.30
Pr (0.0000, 0.0003, 0.4221)  3 Cd 3.24-3.51, 4 In 3.30
In (0.5000, 0.6664, 0.3344)  3 Cd 2.98-2.99, 2 Nd 3.29, 4 Pr 3.30
In (0.5000, 0.3344, 0.6664)  3 Cd 2.98-2.99, 2 Nd 3.29, 4 Pr 3.30

Which of these has the lowest E_tot?
Ta2PbN